SrZrCoHg2 | GGA-PBEsol | relaxed

The value obtained for the formation energy from the elements is 1913 meV per atom. The symmetry is No. 123.

```
data_SrZrCoHg2
_space_group_name_H-M_alt 'P 1'
_space_group_IT_number 1
_space_group_name_Hall 'P 1'
_cell_length_a 5.4697
_cell_length_b 5.4697
_cell_length_c 5.3870
_cell_angle_alpha 90.00
_cell_angle_beta 90.00
_cell_angle_gamma 90.00
loop_
_atom_site_label
_atom_site_type_symbol
_atom_site_fract_x
_atom_site_fract_y
_atom_site_fract_z
_atom_site_occupancy
Sr1 Sr 0.0000 0.0000 0.0000 1
Co1 Co 0.5000 0.5000 0.5000 1
Hg1 Hg 0.0000 0.5000 0.0000 1
Hg2 Hg 0.5000 0.0000 0.0000 1
Zr1 Zr 0.0000 0.0000 0.5000 1
```


Li2MoRh | GGA-PBEsol | relaxed

The value obtained for the formation energy from the elements is 132 meV per atom. The symmetry is No. 216. The offset from the most stable computed form is 0.0000 eV per atom.

```
data_Li2MoRh
_space_group_name_H-M_alt 'P 1'
_space_group_IT_number 1
_space_group_name_Hall 'P 1'
_cell_length_a 4.1958
_cell_length_b 4.1958
_cell_length_c 4.1958
_cell_angle_alpha 60.00
_cell_angle_beta 60.00
_cell_angle_gamma 60.00
loop_
_atom_site_label
_atom_site_type_symbol
_atom_site_fract_x
_atom_site_fract_y
_atom_site_fract_z
_atom_site_occupancy
Li1 Li 0.0000 0.0000 0.0000 1
Li2 Li 0.2500 0.2500 0.2500 1
Mo1 Mo 0.5000 0.5000 0.5000 1
Rh1 Rh 0.7500 0.7500 0.7500 1
```


Mn3AlBr | GGA-PBEsol | relaxed

The symmetry is No. 221. Its energy relative to the elements, uncorrected is 1.147 eV per atom.

```
data_Mn3AlBr
_space_group_name_H-M_alt 'P 1'
_space_group_IT_number 1
_space_group_name_Hall 'P 1'
_cell_length_a 4.8793
_cell_length_b 4.8793
_cell_length_c 4.8793
_cell_angle_alpha 90.00
_cell_angle_beta 90.00
_cell_angle_gamma 90.00
loop_
_atom_site_label
_atom_site_type_symbol
_atom_site_fract_x
_atom_site_fract_y
_atom_site_fract_z
_atom_site_occupancy
Mn1 Mn 0.0000 0.5000 0.0000 1
Mn2 Mn 0.0000 0.0000 0.5000 1
Mn3 Mn 0.5000 0.0000 0.0000 1
Al1 Al 0.0000 0.0000 0.0000 1
Br1 Br 0.5000 0.5000 0.5000 1
```


ZnCrPb | GGA-PBEsol | relaxed

The value obtained for the formation energy from the elements is 606 meV per atom. The symmetry is No. 156.

```
data_ZnCrPb
_space_group_name_H-M_alt 'P 1'
_space_group_IT_number 1
_space_group_name_Hall 'P 1'
_cell_length_a 3.2689
_cell_length_b 3.2689
_cell_length_c 6.5328
_cell_angle_alpha 90.00
_cell_angle_beta 90.00
_cell_angle_gamma 120.00
loop_
_atom_site_label
_atom_site_type_symbol
_atom_site_fract_x
_atom_site_fract_y
_atom_site_fract_z
_atom_site_occupancy
Cr1 Cr 0.0000 0.0000 0.0228 1
Pb1 Pb 0.6667 0.3333 0.6691 1
Zn1 Zn 0.3333 0.6667 0.3081 1
```


CdH8C4S4N6 | GGA-PBEsol | relaxed

The symmetry is No. 2. The total energy is -6.044 eV per atom.

```
data_CdH8C4S4N6
_space_group_name_H-M_alt 'P 1'
_space_group_IT_number 1
_space_group_name_Hall 'P 1'
_cell_length_a 3.9458
_cell_length_b 7.8106
_cell_length_c 10.0189
_cell_angle_alpha 90.81
_cell_angle_beta 99.12
_cell_angle_gamma 103.94
loop_
_atom_site_label
_atom_site_type_symbol
_atom_site_fract_x
_atom_site_fract_y
_atom_site_fract_z
_atom_site_occupancy
Cd1 Cd 0.0000 0.0000 0.0000 1
H1 H 0.3984 0.5302 0.8721 1
H2 H 0.6016 0.4698 0.1279 1
H3 H 0.3769 0.5017 0.6966 1
H4 H 0.6231 0.4983 0.3034 1
H5 H 0.6626 0.0982 0.7239 1
H6 H 0.3374 0.9018 0.2761 1
H7 H 0.5022 0.2448 0.6093 1
H8 H 0.4978 0.7552 0.3907 1
C1 C 0.5297 0.3068 0.8101 1
C2 C 0.4703 0.6932 0.1899 1
C3 C 0.9062 0.8185 0.6888 1
C4 C 0.0938 0.1815 0.3112 1
S1 S 0.9475 0.6867 0.5703 1
S2 S 0.0525 0.3133 0.4297 1
S3 S 0.6137 0.2436 0.9754 1
S4 S 0.3863 0.7564 0.0246 1
N1 N 0.5731 0.2116 0.7070 1
N2 N 0.5811 0.5467 0.2091 1
N3 N 0.4189 0.4533 0.7909 1
N4 N 0.4269 0.7884 0.2930 1
N5 N 0.8711 0.9163 0.7751 1
N6 N 0.1289 0.0837 0.2249 1
```


MnNbReO2 | GGA-PBEsol | relaxed

The symmetry is No. 123. Its energy relative to the elements, uncorrected is -0.110 eV per atom.

```
data_MnNbReO2
_space_group_name_H-M_alt 'P 1'
_space_group_IT_number 1
_space_group_name_Hall 'P 1'
_cell_length_a 3.8329
_cell_length_b 3.8329
_cell_length_c 5.4698
_cell_angle_alpha 90.00
_cell_angle_beta 90.00
_cell_angle_gamma 90.00
loop_
_atom_site_label
_atom_site_type_symbol
_atom_site_fract_x
_atom_site_fract_y
_atom_site_fract_z
_atom_site_occupancy
Re1 Re 0.0000 0.0000 0.5000 1
Nb1 Nb 0.0000 0.0000 0.0000 1
Mn1 Mn 0.5000 0.5000 0.5000 1
O1 O 0.0000 0.5000 0.0000 1
O2 O 0.5000 0.0000 0.0000 1
```


MgCd2Ni | GGA-PBEsol | relaxed

The value obtained for the formation energy from the elements is -33 meV per atom. The symmetry is No. 119.

```
data_MgCd2Ni
_space_group_name_H-M_alt 'P 1'
_space_group_IT_number 1
_space_group_name_Hall 'P 1'
_cell_length_a 4.0129
_cell_length_b 4.0129
_cell_length_c 5.0309
_cell_angle_alpha 113.50
_cell_angle_beta 113.50
_cell_angle_gamma 90.00
loop_
_atom_site_label
_atom_site_type_symbol
_atom_site_fract_x
_atom_site_fract_y
_atom_site_fract_z
_atom_site_occupancy
Ni1 Ni 0.2500 0.7500 0.5000 1
Mg1 Mg 0.5000 0.5000 0.0000 1
Cd1 Cd 0.0000 0.0000 0.0000 1
Cd2 Cd 0.7500 0.2500 0.5000 1
```


SnPbSe2 | GGA-PBEsol | relaxed

The symmetry is No. 166. The offset from the most stable computed form is 0.0000 eV per atom. Its energy relative to the elements, uncorrected is -0.479 eV per atom.

```
data_SnPbSe2
_space_group_name_H-M_alt 'P 1'
_space_group_IT_number 1
_space_group_name_Hall 'P 1'
_cell_length_a 4.2545
_cell_length_b 4.2545
_cell_length_c 7.3727
_cell_angle_alpha 73.23
_cell_angle_beta 73.23
_cell_angle_gamma 60.00
loop_
_atom_site_label
_atom_site_type_symbol
_atom_site_fract_x
_atom_site_fract_y
_atom_site_fract_z
_atom_site_occupancy
Pb1 Pb 0.0000 0.0000 0.0000 1
Sn1 Sn 0.5000 0.5000 0.5000 1
Se1 Se 0.7528 0.7528 0.7417 1
Se2 Se 0.2472 0.2472 0.2583 1
```